#A
A plane-wave DFT calculation with PBE was carried out for a relaxed structure of YErCu.

The calculated density comes out at 7170 kg/m³.

a = 6.619 Å, b = 6.619 Å, c = 6.619 Å
α = 149.61°, β = 149.61°, γ = 43.52°
Element x y z (fractional)
Y (0.000, 0.000, 0.000)
Er (0.277, 0.277, 0.000)
Cu (0.645, 0.645, 0.000)

---

#B
A plane-wave DFT calculation with PBE was carried out for a relaxed structure of YErCu.

The calculated density comes out at 7099 kg/m³.

a = 6.548 Å, b = 6.548 Å, c = 8.069 Å
α = 124.98°, β = 124.98°, γ = 32.61°
Element x y z (fractional)
Y (0.156, 0.156, 0.063)
Y (0.844, 0.844, 0.937)
Er (0.401, 0.401, 0.611)
Er (0.599, 0.599, 0.389)
Cu (0.119, 0.119, 0.672)
Cu (0.881, 0.881, 0.328)

---

Of them, #A has the lowest stability.

---

#A
A plane-wave DFT calculation with PBE was carried out for a relaxed structure of YErZnCu.

The calculated density comes out at 7401 kg/m³.

a = 3.506 Å, b = 3.506 Å, c = 7.030 Å
α = 90.00°, β = 90.00°, γ = 90.00°
Element x y z (fractional)
Y (0.000, 0.000, 0.000)
Er (0.000, 0.000, 0.513)
Zn (0.500, 0.500, 0.262)
Cu (0.500, 0.500, 0.747)

---

#B
A plane-wave DFT calculation with PBE was carried out for a relaxed structure of YErZnCu.

The calculated density comes out at 7403 kg/m³.

a = 4.962 Å, b = 4.962 Å, c = 4.962 Å
α = 60.00°, β = 60.00°, γ = 60.00°
Element x y z (fractional)
Y (0.000, 0.000, 0.000)
Er (0.500, 0.500, 0.500)
Zn (0.750, 0.750, 0.750)
Cu (0.250, 0.250, 0.250)

---

Of them, #B has the lowest stability.

---

#A
A plane-wave DFT calculation with PBE was carried out for a relaxed structure of ErZn2Cu4.

The calculated density comes out at 6718 kg/m³.

a = 5.773 Å, b = 5.773 Å, c = 5.773 Å
α = 101.15°, β = 101.15°, γ = 127.83°
Element x y z (fractional)
Er (0.000, 0.000, 0.000)
Zn (0.250, 0.750, 0.500)
Zn (0.750, 0.250, 0.500)
Cu (0.276, 0.500, 0.776)
Cu (0.500, 0.276, 0.776)
Cu (0.500, 0.724, 0.224)
Cu (0.724, 0.500, 0.224)

---

#B
A plane-wave DFT calculation with PBE was carried out for a relaxed structure of ErZn2Cu4.

The calculated density comes out at 8864 kg/m³.

a = 5.160 Å, b = 5.160 Å, c = 4.986 Å
α = 118.01°, β = 118.01°, γ = 76.57°
Element x y z (fractional)
Er (0.000, 0.000, 0.000)
Zn (0.498, 0.498, 0.247)
Zn (0.502, 0.502, 0.753)
Cu (0.002, 0.619, 0.311)
Cu (0.381, 0.998, 0.689)
Cu (0.619, 0.002, 0.311)
Cu (0.998, 0.381, 0.689)

---

Of them, #A has the lowest stability.

---

#A
A plane-wave DFT calculation with PBE was carried out for a relaxed structure of Er2ZnCu3.

The calculated density comes out at 8884 kg/m³.

a = 8.562 Å, b = 8.151 Å, c = 5.538 Å
α = 74.71°, β = 66.68°, γ = 38.60°
Element x y z (fractional)
Er (0.246, 0.754, 0.754)
Er (0.250, 0.250, 0.250)
Er (0.750, 0.750, 0.750)
Er (0.754, 0.246, 0.246)
Zn (0.333, 0.333, 0.667)
Zn (0.667, 0.667, 0.333)
Cu (0.165, 0.165, 0.835)
Cu (0.166, 0.667, 0.333)
Cu (0.333, 0.834, 0.166)
Cu (0.667, 0.166, 0.834)
Cu (0.834, 0.333, 0.667)
Cu (0.835, 0.835, 0.165)

---

#B
A plane-wave DFT calculation with PBE was carried out for a relaxed structure of Er2ZnCu3.

The calculated density comes out at 9085 kg/m³.

a = 5.364 Å, b = 5.364 Å, c = 6.781 Å
α = 127.13°, β = 127.13°, γ = 47.37°
Element x y z (fractional)
Er (0.000, 0.000, 0.000)
Er (0.094, 0.094, 0.595)
Zn (0.714, 0.714, 0.406)
Cu (0.379, 0.379, 0.182)
Cu (0.385, 0.385, 0.585)
Cu (0.709, 0.709, 0.006)

---

Of them, #A has the lowest stability.

---

#A
A plane-wave DFT calculation with PBE was carried out for a relaxed structure of Er3Zn2Cu.

The calculated density comes out at 8958 kg/m³.

a = 4.959 Å, b = 4.959 Å, c = 12.120 Å
α = 90.00°, β = 90.00°, γ = 120.00°
Element x y z (fractional)
Er (0.000, 0.000, 0.247)
Er (0.000, 0.000, 0.753)
Er (0.333, 0.667, 0.413)
Er (0.333, 0.667, 0.916)
Er (0.667, 0.333, 0.084)
Er (0.667, 0.333, 0.587)
Zn (0.000, 0.000, 0.000)
Zn (0.000, 0.000, 0.500)
Zn (0.333, 0.667, 0.662)
Zn (0.667, 0.333, 0.338)
Cu (0.333, 0.667, 0.163)
Cu (0.667, 0.333, 0.837)

---

#B
A plane-wave DFT calculation with PBE was carried out for a relaxed structure of Er3Zn2Cu.

The calculated density comes out at 8975 kg/m³.

a = 3.500 Å, b = 3.500 Å, c = 10.512 Å
α = 90.00°, β = 90.00°, γ = 90.00°
Element x y z (fractional)
Er (0.000, 0.000, 0.000)
Er (0.000, 0.000, 0.339)
Er (0.000, 0.000, 0.661)
Zn (0.500, 0.500, 0.167)
Zn (0.500, 0.500, 0.833)
Cu (0.500, 0.500, 0.500)

---

Of them, #A has the lowest stability.

---

#A
A plane-wave DFT calculation with PBE was carried out for a relaxed structure of ErZn2Cu9.

The calculated density comes out at 8665 kg/m³.

a = 7.844 Å, b = 7.844 Å, c = 7.844 Å
α = 100.11°, β = 100.11°, γ = 130.45°
Element x y z (fractional)
Er (0.375, 0.625, 0.750)
Er (0.625, 0.375, 0.250)
Zn (0.000, 0.000, 0.000)
Zn (0.000, 0.000, 0.500)
Zn (0.000, 0.500, 0.000)
Zn (0.500, 0.000, 0.500)
Cu (0.125, 0.875, 0.250)
Cu (0.135, 0.556, 0.335)
Cu (0.135, 0.800, 0.579)
Cu (0.200, 0.279, 0.335)
Cu (0.200, 0.865, 0.921)
Cu (0.279, 0.200, 0.835)
Cu (0.279, 0.444, 0.079)
Cu (0.444, 0.279, 0.579)
Cu (0.444, 0.865, 0.165)
Cu (0.556, 0.135, 0.835)
Cu (0.556, 0.721, 0.421)
Cu (0.721, 0.556, 0.921)
Cu (0.721, 0.800, 0.165)
Cu (0.800, 0.135, 0.079)
Cu (0.800, 0.721, 0.665)
Cu (0.865, 0.200, 0.421)
Cu (0.865, 0.444, 0.665)
Cu (0.875, 0.125, 0.750)

---

#B
A plane-wave DFT calculation with PBE was carried out for a relaxed structure of ErZn2Cu9.

The calculated density comes out at 8566 kg/m³.

a = 8.349 Å, b = 8.349 Å, c = 8.349 Å
α = 34.74°, β = 34.74°, γ = 34.74°
Element x y z (fractional)
Er (0.000, 0.000, 0.000)
Zn (0.146, 0.146, 0.146)
Zn (0.854, 0.854, 0.854)
Cu (0.081, 0.589, 0.589)
Cu (0.334, 0.334, 0.334)
Cu (0.411, 0.411, 0.919)
Cu (0.411, 0.919, 0.411)
Cu (0.500, 0.500, 0.500)
Cu (0.589, 0.081, 0.589)
Cu (0.589, 0.589, 0.081)
Cu (0.666, 0.666, 0.666)
Cu (0.919, 0.411, 0.411)

---

Of them, #B has the lowest stability.